Cr2AuI | PBE | relaxed

It has space group Fm-3m (No. 225), with a = 6.3688 Å, b = 6.3688 Å, c = 6.3688 Å, α = 90.00°, β = 90.00° and γ = 90.00°. Symmetry generates all atoms from Cr at (0.2500, 0.2500, 0.2500), Au at (0.0000, 0.0000, 0.0000) and I at (0.0000, 0.0000, 0.5000).

The calculation puts the size of the total moment at 0.90 μB/f.u. The calculated total energy comes out at -5.03 eV/atom. The energy relative to the lowest polymorph listed for this composition comes out at 258 meV/atom. For the formation energy (no corrections), the calculation gives 0.99 eV/atom.